[1]
Below is crystalline PmPr2AgO5 at its relaxed geometry, with properties calculated at the PBE level.

Computed properties:
- uncorrected energy (Ha/atom) = -0.2575
- energy relative to the elements, uncorrected (eV/atom) = -2.35
- space-group type = P4/mbm, No. 127

Cell lengths 6.099, 6.692, 6.692 Å; angles 90.00, 90.00, 90.00 degrees
Atoms (fractional coordinates):
1 O 0.766 0.822 0.322
2 O 0.500 0.500 0.500
3 O 0.234 0.678 0.822
4 O 0.234 0.178 0.678
5 O 0.766 0.678 0.822
6 O 0.234 0.822 0.322
7 O 0.766 0.178 0.678
8 O 0.234 0.322 0.178
9 O 0.500 0.000 0.000
10 O 0.766 0.322 0.178
11 Pr 0.500 0.162 0.338
12 Pr 0.500 0.338 0.838
13 Pr 0.500 0.838 0.662
14 Pr 0.500 0.662 0.162
15 Ag 0.000 0.000 0.500
16 Ag 0.000 0.500 0.000
17 Pm 0.000 0.000 0.000
18 Pm 0.000 0.500 0.500

***

[2]
Below is crystalline Na6Tl2Pb at its relaxed geometry, with properties calculated at the PBE level.

Computed properties:
- formation energy (eV per atom) = -0.0596
- uncorrected energy (Ha/atom) = -0.0690
- distance to the lowest polymorph of the same formula (eV per formula unit) = 0.556
- space-group type = C2/m, No. 12

Cell lengths 5.494, 8.588, 8.588 Å; angles 45.54, 79.93, 79.93 degrees
Atoms (fractional coordinates):
1 Na 0.461 0.348 0.862
2 Na 0.539 0.652 0.138
3 Na 0.539 0.138 0.652
4 Na 0.102 0.790 0.790
5 Na 0.461 0.862 0.348
6 Na 0.898 0.210 0.210
7 Pb 0.000 0.000 0.000
8 Tl 0.961 0.601 0.601
9 Tl 0.039 0.399 0.399

***

[3]
Below is crystalline ScCu2Ni at its relaxed geometry, with properties calculated at the PBE level.

Computed properties:
- formation energy (eV per atom) = -0.2159
- uncorrected energy (Ha/atom) = -0.1945
- space-group type = Pmm2, No. 25

Cell lengths 3.166, 3.269, 6.325 Å; angles 58.88, 90.00, 90.00 degrees
Atoms (fractional coordinates):
1 Ni 0.000 0.515 0.485
2 Sc 0.500 0.762 0.738
3 Cu 0.000 0.970 0.030
4 Cu 0.500 0.253 0.247

***

[4]
Below is crystalline FeCo3Ag at its relaxed geometry, with properties calculated at the PBE level.

Computed properties:
- formation energy (eV per atom) = 1.1018
- uncorrected energy (Ha/atom) = -0.1993
- distance to the lowest polymorph of the same formula (eV per formula unit) = 0.000
- space-group type = Pm-3m, No. 221

Cell lengths 4.307, 4.307, 4.307 Å; angles 90.00, 90.00, 90.00 degrees
Site moments in Bohr magnetons follow the coordinates.
Atoms (fractional coordinates):
1 Co 0.500 0.000 0.000  1.60
2 Co 0.000 0.500 0.000  1.92
3 Co 0.000 0.000 0.500  2.17
4 Fe 0.000 0.000 0.000  2.44
5 Ag 0.500 0.500 0.500  0.00

***

[5]
Below is crystalline CaGe2Bi2 at its relaxed geometry, with properties calculated at the PBE level.

Computed properties:
- formation energy (eV per atom) = 0.0151
- uncorrected energy (Ha/atom) = -0.1391
- distance to the lowest polymorph of the same formula (eV per formula unit) = 0.614
- space-group type = P4/mbm, No. 127

Cell lengths 8.437, 8.437, 3.922 Å; angles 90.00, 90.00, 90.00 degrees
Atoms (fractional coordinates):
1 Ge 0.655 0.845 0.500
2 Ge 0.155 0.655 0.500
3 Ge 0.345 0.155 0.500
4 Ge 0.845 0.345 0.500
5 Bi 0.643 0.143 0.000
6 Bi 0.143 0.357 0.000
7 Bi 0.857 0.643 0.000
8 Bi 0.357 0.857 0.000
9 Ca 0.500 0.500 0.000
10 Ca 0.000 0.000 0.000

***

[6]
Below is crystalline HoGa6Co at its relaxed geometry, with properties calculated at the PBE level.

Computed properties:
- formation energy (eV per atom) = -0.2441
- uncorrected energy (Ha/atom) = -0.1461
- space-group type = Amm2, No. 38

Cell lengths 3.952, 5.998, 5.998 Å; angles 101.60, 90.00, 90.00 degrees
Atoms (fractional coordinates):
1 Ga 0.500 0.604 0.862
2 Ga 0.500 0.138 0.396
3 Ga 0.000 0.420 0.212
4 Ga 0.000 0.347 0.653
5 Ga 0.000 0.788 0.580
6 Ga 0.000 0.875 0.125
7 Co 0.500 0.718 0.282
8 Ho 0.500 0.110 0.890

***

Which of these has the lowest uncorrected energy?
PmPr2AgO5